Material: CaCr2Sb
Method: DFT, SCAN
State: PBEsol geometry

Properties
DFT total energy in Ha/atom: -0.7782
ΔE_f (raw) in eV per atom: -0.2539

Unit cell a=5.842 b=5.842 c=5.842 alpha=43.81 beta=43.81 gamma=43.81
Fractional coordinates of all 4 atoms:
Ca 0.000 0.000 0.000
Cr 0.205 0.205 0.205
Cr 0.526 0.526 0.526
Sb 0.798 0.798 0.798